1.
## Pm2Al2Co15 (PBE-GGA)

Data for crystalline Pm2Al2Co15 at its relaxed geometry.

Cell lengths 6.347, 6.347, 6.347 Å; angles 82.75, 82.75, 82.75 degrees
Positions (direct):
Pm 0.148 0.148 0.148
Pm 0.852 0.852 0.852
Al 0.395 0.395 0.395
Al 0.605 0.605 0.605
Co 0.000 0.500 0.500
Co 0.152 0.152 0.647
Co 0.152 0.647 0.152
Co 0.215 0.500 0.785
Co 0.215 0.785 0.500
Co 0.353 0.848 0.848
Co 0.500 0.000 0.500
Co 0.500 0.215 0.785
Co 0.500 0.500 0.000
Co 0.500 0.785 0.215
Co 0.647 0.152 0.152
Co 0.785 0.215 0.500
Co 0.785 0.500 0.215
Co 0.848 0.353 0.848
Co 0.848 0.848 0.353

Computed properties:
- E_form (eV per atom) = -0.137
- total DFT energy (no corrections) (eV/atom) = -6.641

***

2.
## HfTaSeS2 (PBE-GGA)

Data for crystalline HfTaSeS2 at its relaxed geometry.

Cell lengths 4.690, 4.690, 5.036 Å; angles 90.00, 90.00, 90.00 degrees
Positions (direct):
Hf 0.000 0.000 0.000
Ta 0.500 0.500 0.000
Se 0.000 0.000 0.500
S 0.000 0.500 0.500
S 0.500 0.000 0.500

Computed properties:
- total DFT energy (no corrections) (eV/atom) = -5.586

***

3.
## Tb6HoEr2Tm3 (PBE-GGA)

Data for crystalline Tb6HoEr2Tm3 at its relaxed geometry.

Cell lengths 6.102, 6.102, 11.647 Å; angles 94.99, 94.99, 119.95 degrees
Positions (direct):
Tb 0.084 0.417 0.751
Tb 0.249 0.249 0.249
Tb 0.417 0.084 0.751
Tb 0.583 0.916 0.249
Tb 0.751 0.751 0.751
Tb 0.916 0.583 0.249
Ho 0.000 0.000 0.500
Er 0.333 0.667 0.500
Er 0.667 0.333 0.500
Tm 0.167 0.833 0.000
Tm 0.500 0.500 0.000
Tm 0.833 0.167 0.000

Computed properties:
- E_form (eV per atom) = 0.019
- total DFT energy (no corrections) (eV/atom) = -4.556

***

4.
## TmCu2Pd8 (PBE-GGA)

Data for crystalline TmCu2Pd8 at its relaxed geometry.

Cell lengths 7.323, 7.323, 6.321 Å; angles 106.28, 106.28, 31.91 degrees
Positions (direct):
Tm 0.000 0.000 0.000
Cu 0.272 0.272 0.359
Cu 0.728 0.728 0.641
Pd 0.098 0.098 0.468
Pd 0.185 0.185 0.918
Pd 0.356 0.356 0.796
Pd 0.451 0.451 0.274
Pd 0.549 0.549 0.726
Pd 0.644 0.644 0.204
Pd 0.815 0.815 0.082
Pd 0.902 0.902 0.532

Computed properties:
- E_form (eV per atom) = -0.356
- total DFT energy (no corrections) (eV/atom) = -5.284

***

5.
## Y2MnP3Ir4 (PBE-GGA)

Data for crystalline Y2MnP3Ir4 at its relaxed geometry.

Cell lengths 4.057, 4.057, 9.907 Å; angles 90.00, 90.00, 90.00 degrees
Positions (direct):
Y 0.000 0.500 0.249
Y 0.500 0.000 0.751
Mn 0.500 0.500 0.000
P 0.000 0.000 0.000
P 0.000 0.500 0.639
P 0.500 0.000 0.361
Ir 0.000 0.000 0.500
Ir 0.000 0.500 0.870
Ir 0.500 0.000 0.130
Ir 0.500 0.500 0.500

Computed properties:
- E_form (eV per atom) = -0.891
- total DFT energy (no corrections) (eV/atom) = -8.268

***

6.
## PaReOs (PBE-GGA)

Data for crystalline PaReOs at its relaxed geometry.

Cell lengths 6.535, 6.535, 6.535 Å; angles 153.84, 153.84, 37.34 degrees
Positions (direct):
Pa 0.000 0.000 0.000
Re 0.687 0.687 0.000
Os 0.314 0.314 0.000

Computed properties:
- E_form (eV per atom) = -0.069
- total DFT energy (no corrections) (eV/atom) = -11.127

***

Fermi-level density of states for every record listed, in sequence, given in states/eV/f.u.: 23.90; 5.24; 15.75; 9.92; 4.33; 0.99.
V for every record listed, in sequence, given in Å³/atom: 13.16; 22.16; 30.84; 15.58; 16.30; 18.07.